A plane-wave DFT calculation with PBE with a Hubbard U was carried out for a relaxed structure of AgMoCO5.

The structure belongs to space group C2/c (No. 15); the cell edges are 6.608, 8.339 and 7.290 Å and the angles 90.00°, 116.12° and 90.00°. The inequivalent atoms are Ag at (0.000, 0.087, 0.250), Mo at (0.250, 0.250, 0.000), C at (0.000, 0.439, 0.250), O at (0.000, 0.178, 0.750), O at (0.036, 0.333, 0.112) and O at (0.193, 0.470, 0.857).

As for the total magnetization: 0.979 μB per formula unit. The total DFT energy (no corrections) is -6.48 eV per atom.